Here is crystalline La2CuAg at its relaxed geometry from Alexandria. Energies are from PBE.

Unit cell a=4.5975 b=4.5975 c=18.4624 alpha=90.00 beta=90.00 gamma=120.00
Space group R3m (No. 160, hexagonal axes)
Unique sites:
La (0.0000, 0.0000, 0.0000)
La (0.0000, 0.0000, 0.1874)
Cu (0.0000, 0.0000, 0.4225)
Ag (0.0000, 0.0000, 0.7629)

Output
- Formation energy: -0.0915 eV per atom
- E: -51.51 eV per cell
- Excess energy over the best structure of this formula in the dataset: 0.108 eV per atom
- Spin magnetization: 0.000 μB/cell